# Ce2NiBi, relaxed, DFT PBE
# - polymorph energy (0 for the lowest one) (meV/atom) = 4.8
# - ΔH_f (0 K) (meV per atom) = -357
# - spin magnetization (μB per formula unit) = 1.21
data_Ce2NiBi
_chemical_formula_sum 'Ce2 Ni1 Bi1'
_cell_length_a 3.782
_cell_length_b 3.782
_cell_length_c 6.871
_cell_angle_alpha 90.00
_cell_angle_beta 90.00
_cell_angle_gamma 90.00
_space_group_name_H-M_alt 'P 1'
_space_group_IT_number 1
loop_
_space_group_symop_operation_xyz
'x,y,z'
loop_
_atom_site_label
_atom_site_type_symbol
_atom_site_fract_x
_atom_site_fract_y
_atom_site_fract_z
Bi1 Bi 0.500 0.500 0.500
Ce1 Ce 0.000 0.000 0.201
Ni1 Ni 0.500 0.500 0.000
Ce2 Ce 0.000 0.000 0.799

***

# Ce4Ni3Bi8, relaxed, DFT PBE
# - ΔH_f (0 K) (meV per atom) = -522
# - spin magnetization (μB per formula unit) = 0.21
data_Ce4Ni3Bi8
_chemical_formula_sum 'Ce4 Ni3 Bi8'
_cell_length_a 4.570
_cell_length_b 4.570
_cell_length_c 18.818
_cell_angle_alpha 90.00
_cell_angle_beta 90.00
_cell_angle_gamma 90.00
_space_group_name_H-M_alt 'P 1'
_space_group_IT_number 1
loop_
_space_group_symop_operation_xyz
'x,y,z'
loop_
_atom_site_label
_atom_site_type_symbol
_atom_site_fract_x
_atom_site_fract_y
_atom_site_fract_z
Ni1 Ni 0.000 0.000 0.500
Bi1 Bi 0.500 0.500 0.752
Bi2 Bi 0.500 0.500 0.248
Ce1 Ce 0.000 0.500 0.893
Bi3 Bi 0.500 0.000 0.926
Bi4 Bi 0.000 0.000 0.247
Bi5 Bi 0.000 0.500 0.074
Bi6 Bi 0.000 0.500 0.578
Bi7 Bi 0.500 0.000 0.422
Bi8 Bi 0.000 0.000 0.753
Ce2 Ce 0.500 0.000 0.107
Ce3 Ce 0.500 0.000 0.611
Ni2 Ni 0.000 0.000 0.000
Ni3 Ni 0.500 0.500 0.500
Ce4 Ce 0.000 0.500 0.389

***

Question: Among the records above, which one has the lowest ΔH_f (0 K)?
Answer: Ce4Ni3Bi8

***

Repeat the first record exactly.
# Ce2NiBi, relaxed, DFT PBE
# - polymorph energy (0 for the lowest one) (meV/atom) = 4.8
# - ΔH_f (0 K) (meV per atom) = -357
# - spin magnetization (μB per formula unit) = 1.21
data_Ce2NiBi
_chemical_formula_sum 'Ce2 Ni1 Bi1'
_cell_length_a 3.782
_cell_length_b 3.782
_cell_length_c 6.871
_cell_angle_alpha 90.00
_cell_angle_beta 90.00
_cell_angle_gamma 90.00
_space_group_name_H-M_alt 'P 1'
_space_group_IT_number 1
loop_
_space_group_symop_operation_xyz
'x,y,z'
loop_
_atom_site_label
_atom_site_type_symbol
_atom_site_fract_x
_atom_site_fract_y
_atom_site_fract_z
Bi1 Bi 0.500 0.500 0.500
Ce1 Ce 0.000 0.000 0.201
Ni1 Ni 0.500 0.500 0.000
Ce2 Ce 0.000 0.000 0.799

***

Question: Which value of ΔH_f (0 K) does entry 2 give?
Answer: -522 meV per atom

***

Copy entry 2 word for word.
# Ce4Ni3Bi8, relaxed, DFT PBE
# - ΔH_f (0 K) (meV per atom) = -522
# - spin magnetization (μB per formula unit) = 0.21
data_Ce4Ni3Bi8
_chemical_formula_sum 'Ce4 Ni3 Bi8'
_cell_length_a 4.570
_cell_length_b 4.570
_cell_length_c 18.818
_cell_angle_alpha 90.00
_cell_angle_beta 90.00
_cell_angle_gamma 90.00
_space_group_name_H-M_alt 'P 1'
_space_group_IT_number 1
loop_
_space_group_symop_operation_xyz
'x,y,z'
loop_
_atom_site_label
_atom_site_type_symbol
_atom_site_fract_x
_atom_site_fract_y
_atom_site_fract_z
Ni1 Ni 0.000 0.000 0.500
Bi1 Bi 0.500 0.500 0.752
Bi2 Bi 0.500 0.500 0.248
Ce1 Ce 0.000 0.500 0.893
Bi3 Bi 0.500 0.000 0.926
Bi4 Bi 0.000 0.000 0.247
Bi5 Bi 0.000 0.500 0.074
Bi6 Bi 0.000 0.500 0.578
Bi7 Bi 0.500 0.000 0.422
Bi8 Bi 0.000 0.000 0.753
Ce2 Ce 0.500 0.000 0.107
Ce3 Ce 0.500 0.000 0.611
Ni2 Ni 0.000 0.000 0.000
Ni3 Ni 0.500 0.500 0.500
Ce4 Ce 0.000 0.500 0.389